[1]
DFT (PBE-GGA) results for Li4Cd5Au after structural relaxation.

Results
Volume (A^3/atom): 18.42
Energy relative to the elements (meV per atom): -283
Mass density (g/cm³): 7.09
Space group: C2/m (12)

Unit cell a=7.7947 b=7.7947 c=5.7772 alpha=109.34 beta=109.34 gamma=34.02
With the nearest neighbours (Å) after each atom.
Fractional coordinates of all 10 atoms:
Li (0.0884, 0.0884, 0.3806)  2 Au 2.84, 8 Cd 2.87-3.12
Li (0.3098, 0.3098, 0.2227)  1 Au 2.73, 7 Cd 2.75-2.95
Li (0.6902, 0.6902, 0.7773)  1 Au 2.73, 7 Cd 2.75-2.95
Li (0.9116, 0.9116, 0.6194)  2 Au 2.84, 8 Cd 2.87-3.12
Cd (0.1128, 0.1128, 0.8953)  6 Li 2.75-2.95, 2 Cd 3.02
Cd (0.2887, 0.2887, 0.6952)  7 Li 2.84-3.05, 3 Cd 3.03-3.13
Cd (0.5000, 0.5000, 0.0000)  2 Au 2.89, 6 Cd 3.02-3.03, 4 Li 3.12
Cd (0.7113, 0.7113, 0.3048)  7 Li 2.84-3.05, 3 Cd 3.03-3.13
Cd (0.8872, 0.8872, 0.1047)  6 Li 2.75-2.95, 2 Cd 3.02
Au (0.5000, 0.5000, 0.5000)  6 Li 2.73-2.84, 2 Cd 2.89

[2]
DFT (PBE-GGA) results for Li3CdAu2 after structural relaxation.

Results
Volume (A^3/atom): 16.21
Energy relative to the elements (meV per atom): -452
Mass density (g/cm³): 9.00
Space group: P4/mmm (123)

Unit cell a=3.1748 b=3.1748 c=9.6500 alpha=90.00 beta=90.00 gamma=90.00
With the nearest neighbours (Å) after each atom.
Fractional coordinates of all 6 atoms:
Li (0.0000, 0.0000, 0.0000)  8 Au 2.72, 2 Li 2.98
Li (0.0000, 0.0000, 0.3092)  4 Au 2.67, 4 Cd 2.90, 1 Li 2.98
Li (0.0000, 0.0000, 0.6908)  4 Au 2.67, 4 Cd 2.90, 1 Li 2.98
Cd (0.5000, 0.5000, 0.5000)  8 Li 2.90, 4 Cd 3.17
Au (0.5000, 0.5000, 0.1592)  8 Li 2.67-2.72
Au (0.5000, 0.5000, 0.8408)  8 Li 2.67-2.72